Lu2O3: optimized geometry, PBEsol.

Values from the calculation:
Energy relative to the elements, uncorrected   -3.699 eV/atom
VASP energy   -8.80 eV/atom
SG   P-3m1, No. 164

Geometry as CIF:
```
data_Lu2O3
_chemical_formula_sum 'Lu2 O3'
_space_group_name_H-M_alt 'P 1'
_space_group_IT_number 1
_space_group_name_Hall 'P 1'
_cell_length_a 3.527
_cell_length_b 3.527
_cell_length_c 5.647
_cell_angle_alpha 90.00
_cell_angle_beta 90.00
_cell_angle_gamma 120.00
loop_
_atom_site_label
_atom_site_fract_x
_atom_site_fract_y
_atom_site_fract_z
Lu1 0.667 0.333 0.751
Lu2 0.333 0.667 0.249
O1 0.000 0.000 0.000
O2 0.667 0.333 0.354
O3 0.333 0.667 0.646
```